(1)
NiAgBr2 | PBE | optimized geometry

a = 3.784 Å, b = 3.784 Å, c = 7.217 Å
α = 74.76°, β = 74.76°, γ = 59.99°
Each line ends with the local moment (μB).
Positions (direct):
Br: 0.486 0.486 0.541  0.07
Br: 0.014 0.014 0.959  0.07
Ni: 0.750 0.750 0.750  0.89
Ag: 0.250 0.250 0.250  -0.01

Formation energy (no corrections)   0.00 eV/atom
Space group   R-3m
Magnetization   1.005 μB/f.u.
ΔE to the lowest computed polymorph   116 meV/atom
Crystal system   trigonal

---

(2)
AcCeCoGe | PBE | optimized geometry

a = 4.955 Å, b = 4.955 Å, c = 8.875 Å
α = 90.00°, β = 90.00°, γ = 90.00°
Positions (direct):
Co: 0.000 0.500 0.479
Co: 0.500 0.000 0.521
Ge: 0.000 0.500 0.208
Ge: 0.500 0.000 0.792
Ce: 0.500 0.500 0.500
Ce: 0.000 0.000 0.500
Ac: 0.500 0.000 0.149
Ac: 0.000 0.500 0.851

Space group   P4/nmm
Magnetization   0.000 μB/f.u.
Energy of formation from the pure elements   -1.73 eV/f.u.
Crystal system   tetragonal

---

(3)
Sr2LiInPd | PBE | optimized geometry

a = 5.907 Å, b = 5.907 Å, c = 4.782 Å
α = 90.00°, β = 90.00°, γ = 90.00°
Positions (direct):
Li: 0.000 0.000 0.500
In: 0.500 0.500 0.500
Pd: 0.000 0.000 0.000
Sr: 0.000 0.500 0.000
Sr: 0.500 0.000 0.000

Space group   P4/mmm
Magnetization   0.000 μB/f.u.
ΔE to the lowest computed polymorph   21 meV/atom
Energy of formation from the pure elements   -1.30 eV/f.u.
Crystal system   tetragonal

---

Q: Number 3 is which compound?
A: Sr2LiInPd

---

Q: The highest magnetization belongs to which entry?
A: NiAgBr2